BeTl2MoSe: optimized geometry, PBE.

Lattice parameters (Å, degrees): 5.549 5.549 4.758 90.00 90.00 90.00
Positions (direct):
Be1 0.000 0.000 0.000
Tl1 0.000 0.500 0.500
Tl2 0.500 0.000 0.500
Mo1 0.500 0.500 0.500
Se1 0.500 0.500 0.000

Results
* spin magnetization: 0.0 μB/cell
* crystal system: tetragonal
* VASP energy: -3.750 eV per atom



Ho3PBr3: optimized geometry, PBE.

Lattice parameters (Å, degrees): 11.328 11.328 11.328 35.01 35.01 35.01
Positions (direct):
Ho1 0.115 0.453 0.791
Ho2 0.209 0.885 0.547
Ho3 0.453 0.791 0.115
Ho4 0.547 0.209 0.885
Ho5 0.791 0.115 0.453
Ho6 0.885 0.547 0.209
P1 0.167 0.167 0.167
P2 0.833 0.833 0.833
Br1 0.064 0.728 0.396
Br2 0.272 0.604 0.936
Br3 0.396 0.064 0.728
Br4 0.604 0.936 0.272
Br5 0.728 0.396 0.064
Br6 0.936 0.272 0.604

Results
* spin magnetization: 0.0 μB/cell
* crystal system: trigonal
* VASP energy: -5.036 eV per atom



MgNbB2: optimized geometry, PBE.

Lattice parameters (Å, degrees): 6.057 6.057 5.797 90.00 90.00 90.00
Positions (direct):
Mg1 0.000 0.000 0.000
Mg2 0.000 0.500 0.250
Mg3 0.500 0.000 0.750
Mg4 0.500 0.500 0.500
Nb1 0.000 0.000 0.500
Nb2 0.000 0.500 0.750
Nb3 0.500 0.000 0.250
Nb4 0.500 0.500 0.000
B1 0.244 0.250 0.625
B2 0.250 0.744 0.875
B3 0.250 0.756 0.375
B4 0.256 0.250 0.125
B5 0.744 0.750 0.125
B6 0.750 0.244 0.375
B7 0.750 0.256 0.875
B8 0.756 0.750 0.625

Results
* spin magnetization: 0.0 μB/cell
* crystal system: tetragonal
* energy of formation from the pure elements: 0.6126 eV per atom



Ce4ThMg: optimized geometry, PBE.

Lattice parameters (Å, degrees): 6.209 6.209 6.209 60.00 60.00 60.00
Positions (direct):
Ce1 0.125 0.125 0.125
Ce2 0.125 0.125 0.625
Ce3 0.125 0.625 0.125
Ce4 0.625 0.125 0.125
Th1 0.750 0.750 0.750
Mg1 0.500 0.500 0.500

Results
* spin magnetization: 3.4 μB/cell
* crystal system: cubic
* offset from the most stable computed form: 0.0000 eV/atom
* energy of formation from the pure elements: 0.2387 eV per atom



LiCa5Pd4: optimized geometry, PBE.

Lattice parameters (Å, degrees): 3.592 3.592 18.294 90.00 90.00 90.00
Positions (direct):
Li1 0.000 0.000 0.000
Ca1 0.500 0.500 0.126
Ca2 0.500 0.500 0.313
Ca3 0.500 0.500 0.500
Ca4 0.500 0.500 0.687
Ca5 0.500 0.500 0.874
Pd1 0.000 0.000 0.215
Pd2 0.000 0.000 0.406
Pd3 0.000 0.000 0.594
Pd4 0.000 0.000 0.785

Results
* spin magnetization: 0.0 μB/cell
* crystal system: tetragonal
* energy of formation from the pure elements: -0.5552 eV per atom



HoTaMo4: optimized geometry, PBE.

Lattice parameters (Å, degrees): 5.380 5.380 5.380 60.00 60.00 60.00
Positions (direct):
Ho1 0.000 0.000 0.000
Ta1 0.750 0.750 0.750
Mo1 0.375 0.375 0.375
Mo2 0.375 0.375 0.875
Mo3 0.375 0.875 0.375
Mo4 0.875 0.375 0.375

Results
* spin magnetization: 0.0 μB/cell
* crystal system: cubic
* energy of formation from the pure elements: 0.0571 eV per atom



Ba4SnBiI2: optimized geometry, PBE.

Lattice parameters (Å, degrees): 8.860 5.014 9.107 90.00 108.45 90.00
Positions (direct):
Ba1 0.242 0.000 0.221
Ba2 0.257 0.500 0.773
Ba3 0.743 0.500 0.227
Ba4 0.758 0.000 0.779
Sn1 0.500 0.000 0.000
Bi1 0.000 0.500 0.000
I1 0.000 0.000 0.500
I2 0.500 0.500 0.500

Results
* spin magnetization: 0.7 μB/cell
* crystal system: monoclinic
* VASP energy: -3.467 eV per atom



CaPm7Ho3: optimized geometry, PBE.

Lattice parameters (Å, degrees): 7.207 7.207 8.722 90.00 90.00 120.00
Positions (direct):
Ca1 0.000 0.000 0.000
Pm1 0.004 0.502 0.991
Pm2 0.333 0.667 0.321
Pm3 0.338 0.169 0.339
Pm4 0.498 0.502 0.991
Pm5 0.498 0.996 0.991
Pm6 0.831 0.169 0.339
Pm7 0.831 0.662 0.339
Ho1 0.169 0.338 0.657
Ho2 0.169 0.831 0.657
Ho3 0.662 0.831 0.657

Results
* spin magnetization: 0.0 μB/cell
* crystal system: trigonal
* energy of formation from the pure elements: 0.2168 eV per atom



TbHoRuAu: optimized geometry, PBE.

Lattice parameters (Å, degrees): 7.000 7.000 7.000 90.00 90.00 90.00
Positions (direct):
Tb1 0.000 0.000 0.000
Tb2 0.000 0.500 0.500
Tb3 0.500 0.000 0.500
Tb4 0.500 0.500 0.000
Ho1 0.000 0.000 0.500
Ho2 0.000 0.500 0.000
Ho3 0.500 0.000 0.000
Ho4 0.500 0.500 0.500
Ru1 0.250 0.250 0.750
Ru2 0.250 0.750 0.250
Ru3 0.750 0.250 0.250
Ru4 0.750 0.750 0.750
Au1 0.250 0.250 0.250
Au2 0.250 0.750 0.750
Au3 0.750 0.250 0.750
Au4 0.750 0.750 0.250

Results
* spin magnetization: 0.0 μB/cell
* crystal system: cubic
* offset from the most stable computed form: 0.0705 eV/atom
* energy of formation from the pure elements: -0.5833 eV per atom



CaLa2Au: optimized geometry, PBE.

Lattice parameters (Å, degrees): 4.706 4.824 5.311 90.00 90.00 90.00
Positions (direct):
Ca1 0.000 0.000 0.000
La1 0.000 0.500 0.500
La2 0.500 0.000 0.500
Au1 0.500 0.500 0.000

Results
* spin magnetization: 0.0 μB/cell
* crystal system: orthorhombic
* offset from the most stable computed form: 0.1732 eV/atom
* energy of formation from the pure elements: -0.2058 eV per atom



Computed DOS(E_F), in the same sequence as the records: 0.627 0.282 0.557 2.814 0.285 0.723 0.732 1.454 0.540 1.455 states/eV per atom.